Density functional theory data (PBE-GGA) for a relaxed Tb2AlSn crystal.

a = 3.5171 Å, b = 3.5171 Å, c = 32.3835 Å
α = 90.00°, β = 90.00°, γ = 120.00°
Space group R-3m (No. 166, hexagonal axes)
One atom of each set of equivalent atoms:
Tb 0.0000 0.0000 0.0969 [6 per cell]
Al 0.0000 0.0000 0.5000 [3 per cell]
Sn 0.0000 0.0000 0.0000 [3 per cell]

Output
The crystal system is trigonal.


Density functional theory data (PBE-GGA) for a relaxed Tb5AlSn4 crystal.

a = 8.957 Å, b = 9.117 Å, c = 7.862 Å
α = 90.00°, β = 90.00°, γ = 90.00°
Space group Pmmn (No. 59, origin choice 2)
One atom of each set of equivalent atoms:
Tb 0.040 0.041 0.245 [8 per cell]
Tb 0.250 0.250 0.608 [2 per cell]
Al 0.250 0.750 0.207 [2 per cell]
Sn 0.037 0.250 0.931 [4 per cell]
Sn 0.250 0.585 0.535 [4 per cell]

Output
The crystal system is orthorhombic.


Density functional theory data (PBE-GGA) for a relaxed Tb2AlSn3 crystal.

a = 13.304 Å, b = 8.311 Å, c = 6.004 Å
α = 90.00°, β = 90.00°, γ = 90.00°
Space group Cmcm (No. 63)
One atom of each set of equivalent atoms:
Tb 0.134 0.178 0.250 [8 per cell]
Al 0.000 0.480 0.750 [4 per cell]
Sn 0.000 0.147 0.750 [4 per cell]
Sn 0.190 0.500 0.000 [8 per cell]

Output
The crystal system is orthorhombic.


Density functional theory data (PBE-GGA) for a relaxed Tb6AlSn crystal.

a = 4.800 Å, b = 4.800 Å, c = 9.585 Å
α = 90.00°, β = 90.00°, γ = 90.00°
Space group P4/mmm (No. 123)
One atom of each set of equivalent atoms:
Tb 0.000 0.000 0.000 [1 per cell]
Tb 0.000 0.000 0.500 [1 per cell]
Tb 0.000 0.500 0.246 [4 per cell]
Al 0.500 0.500 0.000 [1 per cell]
Sn 0.500 0.500 0.500 [1 per cell]

Output
The crystal system is tetragonal.


Looking at energy of formation from the pure elements for the records above, in order, we have -0.061, -0.286, -0.243, -0.316 eV per atom.
Looking at spin magnetization for the records above, in order, we have 0.0, 0.0, 0.0, 0.0 Bohr magnetons per cell.